Model one:
The following is a PBE calculation of a geometry-optimized GeTeBr structure, from Alexandria via LeMat-Bulk.

Cell: 4.123 7.106 8.314 Å, 68.29 89.19 73.19°
Space group P1 (No. 1)
One atom of each set of equivalent atoms:
Ge 0.000 0.000 0.000 [1 per cell]
Ge 0.335 0.340 0.853 [1 per cell]
Te 0.653 0.688 0.088 [1 per cell]
Te 0.682 0.651 0.766 [1 per cell]
Br 0.349 0.330 0.565 [1 per cell]
Br 0.986 0.012 0.287 [1 per cell]


Model two:
The following is a PBE calculation of a geometry-optimized GeTeBr structure, from Alexandria via LeMat-Bulk.

## Properties
The density of states at the Fermi level is 5.7 states/eV/cell.

Cell: 12.487 4.825 7.832 Å, 90.00 103.80 90.00°
Space group C2/m (No. 12)
One atom of each set of equivalent atoms:
Ge 0.075 0.000 0.209 [4 per cell]
Te 0.146 0.000 0.912 [4 per cell]
Br 0.126 0.500 0.346 [4 per cell]


According to the calculations, the structures order from most to least stable as model one, model two.


Model one:
The following is a PBE calculation of a geometry-optimized GeTe3Br structure, from Alexandria via LeMat-Bulk.

## Properties
The density of states at the Fermi level is 6.9 states/eV/cell.

Cell: 5.671 7.947 7.694 Å, 90.00 90.07 90.00°
Space group Pm (No. 6)
One atom of each set of equivalent atoms:
Ge 0.000 0.000 0.000 [1 per cell]
Ge 0.500 0.500 0.015 [1 per cell]
Te 0.111 0.500 0.742 [1 per cell]
Te 0.262 0.244 0.230 [2 per cell]
Te 0.612 0.000 0.273 [1 per cell]
Te 0.761 0.256 0.785 [2 per cell]
Br 0.334 0.000 0.761 [1 per cell]
Br 0.835 0.500 0.253 [1 per cell]


Model two:
The following is a PBE calculation of a geometry-optimized GeTe3Br structure, from Alexandria via LeMat-Bulk.

## Properties
The density of states at the Fermi level is 6.9 states/eV/cell.

Cell: 5.441 5.441 5.441 Å, 90.00 90.00 90.00°
Space group Pm-3m (No. 221)
One atom of each set of equivalent atoms:
Ge 0.000 0.000 0.000 [1 per cell]
Te 0.000 0.000 0.500 [3 per cell]
Br 0.500 0.500 0.500 [1 per cell]


According to the calculations, the structures order from most to least stable as model one, model two.


Model one:
The following is a PBE calculation of a geometry-optimized TiGe2Br2 structure, from Alexandria via LeMat-Bulk.

## Properties
The density of states at the Fermi level is 7.2 states/eV/cell.

Cell: 7.240 7.240 5.319 Å, 90.00 90.00 90.00°
Space group P4/mbm (No. 127)
One atom of each set of equivalent atoms:
Ti 0.000 0.000 0.000 [2 per cell]
Ge 0.244 0.256 0.000 [4 per cell]
Br 0.204 0.704 0.500 [4 per cell]


Model two:
The following is a PBE calculation of a geometry-optimized TiGe2Br2 structure, from Alexandria via LeMat-Bulk.

## Properties
The density of states at the Fermi level is 25.0 states/eV/cell.

Cell: 4.527 4.527 12.187 Å, 90.00 90.00 90.00°
Space group I4/mmm (No. 139)
One atom of each set of equivalent atoms:
Ti 0.000 0.000 0.000 [2 per cell]
Ge 0.000 0.000 0.400 [4 per cell]
Br 0.000 0.500 0.250 [4 per cell]


According to the calculations, the structures order from most to least stable as model one, model two.


Model one:
The following is a PBE calculation of a geometry-optimized TiGeBr2 structure, from Alexandria via LeMat-Bulk.

## Properties
The density of states at the Fermi level is 6.7 states/eV/cell.

Cell: 6.983 6.983 10.370 Å, 90.00 90.00 90.00°
Space group I-42d (No. 122)
One atom of each set of equivalent atoms:
Ti 0.000 0.000 0.000 [4 per cell]
Ge 0.000 0.000 0.500 [4 per cell]
Br 0.188 0.250 0.125 [8 per cell]


Model two:
The following is a PBE calculation of a geometry-optimized TiGeBr2 structure, from Alexandria via LeMat-Bulk.

## Properties
The density of states at the Fermi level is 8.6 states/eV/cell.

Cell: 6.890 6.890 6.890 Å, 90.00 90.00 90.00°
Space group Fm-3m (No. 225)
One atom of each set of equivalent atoms:
Ti 0.000 0.000 0.000 [4 per cell]
Ge 0.000 0.000 0.500 [4 per cell]
Br 0.250 0.250 0.250 [8 per cell]


According to the calculations, the structures order from most to least stable as model two, model one.


Model one:
The following is a PBE calculation of a geometry-optimized Tl2GeBr4 structure, from Alexandria via LeMat-Bulk.

## Properties
The density of states at the Fermi level is 0.0 states/eV/cell.

Cell: 14.007 4.228 9.066 Å, 90.00 117.16 90.00°
Space group C2/m (No. 12)
One atom of each set of equivalent atoms:
Tl 0.144 0.000 0.183 [4 per cell]
Ge 0.000 0.500 0.500 [2 per cell]
Br 0.047 0.500 0.836 [4 per cell]
Br 0.152 0.000 0.565 [4 per cell]


Model two:
The following is a PBE calculation of a geometry-optimized Tl2GeBr4 structure, from Alexandria via LeMat-Bulk.

## Properties
The density of states at the Fermi level is 0.0 states/eV/cell.

Cell: 8.978 7.275 9.351 Å, 90.00 115.65 90.00°
Space group P2_1/m (No. 11)
One atom of each set of equivalent atoms:
Tl 0.056 0.250 0.164 [2 per cell]
Tl 0.391 0.750 0.590 [2 per cell]
Ge 0.305 0.250 0.884 [2 per cell]
Br 0.012 0.750 0.248 [2 per cell]
Br 0.328 0.000 0.083 [4 per cell]
Br 0.334 0.250 0.515 [2 per cell]


According to the calculations, the structures order from most to least stable as model one, model two.


Model one:
The following is a PBE calculation of a geometry-optimized TlGe2Br2 structure, from Alexandria via LeMat-Bulk.

## Properties
The density of states at the Fermi level is 2.9 states/eV/cell.

Cell: 3.902 3.902 18.335 Å, 90.00 90.00 90.00°
Space group I4/mmm (No. 139)
One atom of each set of equivalent atoms:
Tl 0.000 0.000 0.000 [2 per cell]
Ge 0.000 0.500 0.250 [4 per cell]
Br 0.000 0.000 0.390 [4 per cell]


Model two:
The following is a PBE calculation of a geometry-optimized TlGe2Br2 structure, from Alexandria via LeMat-Bulk.

## Properties
The density of states at the Fermi level is 3.5 states/eV/cell.

Cell: 9.139 9.139 3.425 Å, 90.00 90.00 90.00°
Space group P4/mbm (No. 127)
One atom of each set of equivalent atoms:
Tl 0.000 0.000 0.000 [2 per cell]
Ge 0.214 0.286 0.500 [4 per cell]
Br 0.127 0.627 0.000 [4 per cell]


According to the calculations, the structures order from most to least stable as model one, model two.


Model one:
The following is a PBE calculation of a geometry-optimized TlGe4Br8 structure, from Alexandria via LeMat-Bulk.

## Properties
The density of states at the Fermi level is 5.0 states/eV/cell.

Cell: 14.620 8.568 10.384 Å, 90.00 134.67 90.00°
Space group C2/m (No. 12)
One atom of each set of equivalent atoms:
Tl 0.000 0.000 0.000 [2 per cell]
Ge 0.000 0.256 0.500 [4 per cell]
Ge 0.249 0.500 0.007 [4 per cell]
Br 0.062 0.271 0.830 [8 per cell]
Br 0.178 0.500 0.641 [4 per cell]
Br 0.192 0.000 0.682 [4 per cell]


Model two:
The following is a PBE calculation of a geometry-optimized TlGe4Br8 structure, from Alexandria via LeMat-Bulk.

## Properties
The density of states at the Fermi level is 20.3 states/eV/cell.

Cell: 12.405 12.405 12.405 Å, 90.00 90.00 90.00°
Space group F-43m (No. 216)
One atom of each set of equivalent atoms:
Tl 0.000 0.000 0.000 [4 per cell]
Ge 0.121 0.121 0.621 [16 per cell]
Br 0.110 0.110 0.390 [16 per cell]
Br 0.145 0.145 0.855 [16 per cell]


According to the calculations, the structures order from most to least stable as model one, model two.


Model one:
The following is a PBE calculation of a geometry-optimized TlGe2Br structure, from Alexandria via LeMat-Bulk.

## Properties
The density of states at the Fermi level is 2.9 states/eV/cell.

Cell: 5.832 5.832 15.523 Å, 90.00 90.00 90.00°
Space group I-42d (No. 122)
One atom of each set of equivalent atoms:
Tl 0.000 0.000 0.000 [4 per cell]
Ge 0.250 0.250 0.125 [8 per cell]
Br 0.000 0.000 0.500 [4 per cell]


Model two:
The following is a PBE calculation of a geometry-optimized TlGe2Br structure, from Alexandria via LeMat-Bulk.

## Properties
The density of states at the Fermi level is 10.7 states/eV/cell.

Cell: 7.285 7.285 7.285 Å, 90.00 90.00 90.00°
Space group Fm-3m (No. 225)
One atom of each set of equivalent atoms:
Tl 0.000 0.000 0.000 [4 per cell]
Ge 0.250 0.250 0.250 [8 per cell]
Br 0.000 0.000 0.500 [4 per cell]


According to the calculations, the structures order from most to least stable as model two, model one.